No. 1
FeOs2Pd | OQMD | PBE | relaxed; symmetry = No. 216; M_tot = 11.26 Bohr magnetons per cell; ΔH_f (0 K) = 468 meV/atom
1.0
6.1093 0.0000 0.0000
0.0000 6.1093 0.0000
0.0000 0.0000 6.1093
Fe Os Pd
4 8 4
direct
0.0000 0.0000 0.0000
0.0000 0.5000 0.5000
0.5000 0.0000 0.5000
0.5000 0.5000 0.0000
0.0000 0.0000 0.5000
0.0000 0.5000 0.0000
0.2500 0.2500 0.2500
0.2500 0.7500 0.7500
0.5000 0.0000 0.0000
0.5000 0.5000 0.5000
0.7500 0.2500 0.7500
0.7500 0.7500 0.2500
0.2500 0.2500 0.7500
0.2500 0.7500 0.2500
0.7500 0.2500 0.2500
0.7500 0.7500 0.7500

No. 2
Gd2Sc2O5 | OQMD | PBE | relaxed; symmetry = No. 123; M_tot = 1.86 Bohr magnetons per cell; total DFT energy (no corrections) = -70.8 eV for the cell shown
1.0
3.8294 0.0000 0.0000
0.0000 3.8294 0.0000
0.0000 0.0000 9.2201
Gd Sc O
2 2 5
direct
0.0000 0.0000 0.2417
0.0000 0.0000 0.7583
0.5000 0.5000 0.0000
0.5000 0.5000 0.5000
0.0000 0.0000 0.5000
0.0000 0.5000 0.1352
0.0000 0.5000 0.8648
0.5000 0.0000 0.1352
0.5000 0.0000 0.8648